# PBE-GGA Sc2GaIr3, optimized geometry
data_Sc2GaIr3
_cell_length_a 5.4274
_cell_length_b 5.4274
_cell_length_c 7.8452
_cell_angle_alpha 90.00
_cell_angle_beta 90.00
_cell_angle_gamma 120.00
_symmetry_space_group_name_H-M 'P 63/m m c'
_symmetry_Int_Tables_number 194
_symmetry_space_group_name_Hall '-P 6c 2c'
loop_
_atom_site_label
_atom_site_type_symbol
_atom_site_fract_x
_atom_site_fract_y
_atom_site_fract_z
_atom_site_occupancy
Sc1 Sc 0.3333 0.6667 0.0609 1
Ga1 Ga 0.0000 0.0000 0.0000 1
Ir1 Ir 0.1717 0.3434 0.7500 1
# Final energy ... -7.8795 eV per atom
# Crystal system ... hexagonal
# ρ ... 12.2 g/cm³